Entry from Alexandria via LeMat-Bulk: a relaxed La6Sb4S3O12 crystal (PBE-GGA).

Cell lengths 10.9035, 10.9035, 15.4203 Å; angles 90.00, 90.00, 90.00 degrees
With the nearest neighbours (Å) after each atom.
Space group I-42d (No. 122)
Inequivalent atoms, fractional coordinates:
La 0.0000 0.0000 0.1971 (multiplicity 8)  6 O 2.39-2.55
La 0.1965 0.6980 0.2502 (multiplicity 16)  6 O 2.39-2.55
Sb 0.0009 0.6749 0.8375 (multiplicity 16)  3 O 2.04-2.05
S 0.0000 0.0000 0.0000 (multiplicity 4)  6 La 3.04
S 0.0097 0.2500 0.6250 (multiplicity 8)  6 Sb 3.31-3.45, 6 O 3.60-3.66
O 0.0005 0.1852 0.2803 (multiplicity 16)  1 Sb 2.04
O 0.1273 0.1882 0.8431 (multiplicity 16)  1 Sb 2.05
O 0.1267 0.6872 0.4078 (multiplicity 16)  1 Sb 2.04

Results
- electronic total energy (eV per atom) = -7.207
- energy relative to the elements, uncorrected (eV per atom) = -2.49